Entry 1:
# La12Ga3Co5

Crystalline La12Ga3Co5 at its relaxed geometry (PBE, the Alexandria database).

a b c (Å): 14.7142 14.7142 14.7142
angles (deg): 109.47 109.47 109.47
Positions (direct):
La 0.7080 0.5840 0.1783
La 0.7080 0.1240 0.0296
La 0.3217 0.7920 0.4160
La 0.3760 0.9704 0.7920
La 0.9704 0.3760 0.2920
La 0.0840 0.1783 0.2080
La 0.7920 0.3217 0.9160
La 0.8760 0.5840 0.9057
La 0.2080 0.6783 0.0840
La 0.9160 0.0943 0.6240
La 0.5840 0.7080 0.6783
La 0.9057 0.8217 0.5296
La 0.9704 0.5943 0.1783
La 0.4057 0.0296 0.3217
La 0.2080 0.5296 0.6240
La 0.4704 0.6783 0.0943
La 0.4057 0.3760 0.5840
La 0.6783 0.4704 0.5943
La 0.0943 0.1783 0.4704
La 0.3760 0.4057 0.0840
La 0.7920 0.4704 0.3760
La 0.4704 0.7920 0.8760
La 0.0296 0.6240 0.7080
La 0.5296 0.2080 0.1240
La 0.1783 0.0943 0.9704
La 0.0943 0.9160 0.1240
La 0.6783 0.2080 0.5840
La 0.9160 0.8217 0.7920
La 0.5296 0.3217 0.9057
La 0.5943 0.9704 0.6783
La 0.1783 0.0840 0.7080
La 0.0840 0.9057 0.3760
La 0.6240 0.0296 0.2080
La 0.8217 0.9160 0.2920
La 0.8217 0.9057 0.0296
La 0.5943 0.6240 0.4160
La 0.2920 0.4160 0.8217
La 0.1240 0.4160 0.0943
La 0.4160 0.1240 0.5943
La 0.1240 0.7080 0.5296
La 0.8760 0.2920 0.4704
La 0.5840 0.8760 0.4057
La 0.6240 0.5943 0.9160
La 0.0296 0.4057 0.8217
La 0.3217 0.5296 0.4057
La 0.4160 0.2920 0.3217
La 0.9057 0.0840 0.8760
La 0.2920 0.8760 0.9704
Co 0.0000 0.5000 0.0000
Co 0.5000 0.0000 0.0000
Co 0.7500 0.6250 0.3750
Co 0.2500 0.8750 0.1250
Co 0.5000 0.0000 0.5000
Co 0.0000 0.0000 0.5000
Co 0.6250 0.7500 0.8750
Co 0.6250 0.8750 0.2500
Co 0.7500 0.1250 0.8750
Co 0.0000 0.5000 0.5000
Co 0.1250 0.7500 0.3750
Co 0.3750 0.1250 0.7500
Co 0.5000 0.5000 0.5000
Co 0.1250 0.3750 0.2500
Co 0.0000 0.0000 0.0000
Co 0.2500 0.3750 0.6250
Co 0.5000 0.5000 0.0000
Co 0.8750 0.6250 0.7500
Co 0.8750 0.2500 0.6250
Co 0.3750 0.2500 0.1250
Ga 0.1250 0.2500 0.8750
Ga 0.3750 0.7500 0.6250
Ga 0.3750 0.6250 0.2500
Ga 0.7500 0.3750 0.1250
Ga 0.8750 0.1250 0.2500
Ga 0.7500 0.8750 0.6250
Ga 0.2500 0.6250 0.8750
Ga 0.2500 0.1250 0.3750
Ga 0.8750 0.7500 0.1250
Ga 0.6250 0.3750 0.7500
Ga 0.6250 0.2500 0.3750
Ga 0.1250 0.8750 0.7500

- mass density (g/cm3) = 5.88
- E_tot (eV per atom) = -5.2601
- spin magnetization (μB/atom) = 0.00
- energy relative to the elements (eV/atom) = -0.073

---

Entry 2:
# LiSc2As

Crystalline LiSc2As at its relaxed geometry (PBE, the Alexandria database).

a b c (Å): 10.5498 10.5498 10.5498
angles (deg): 17.44 17.44 17.44
Site moments in Bohr magnetons follow the coordinates.
Positions (direct):
As 0.0000 0.0000 0.0000  0.00
Li 0.5000 0.5000 0.5000  0.01
Sc 0.9153 0.9153 0.9153  0.13
Sc 0.0847 0.0847 0.0847  0.13

- mass density (g/cm3) = 3.10
- E_tot (eV per atom) = -4.6697
- spin magnetization (μB/atom) = 0.12
- energy relative to the elements (eV/atom) = 0.137

---

Entry 3:
# Li5Cd3Rh

Crystalline Li5Cd3Rh at its relaxed geometry (PBE, the Alexandria database).

a b c (Å): 6.8043 6.8043 9.9160
angles (deg): 67.31 67.31 64.91
Positions (direct):
Li 0.9193 0.5387 0.6483
Li 0.7535 0.7535 0.1453
Li 0.4914 0.4914 0.7484
Li 0.5387 0.9193 0.6483
Li 0.5086 0.5086 0.2516
Li 0.0807 0.4613 0.3517
Li 0.4613 0.0807 0.3517
Li 0.6667 0.3333 0.0000
Li 0.2465 0.2465 0.8547
Li 0.3333 0.6667 0.0000
Cd 0.8233 0.8233 0.8393
Cd 0.6344 0.6344 0.4524
Cd 0.0000 0.0000 0.5000
Cd 0.0000 0.0000 0.0000
Cd 0.1767 0.1767 0.1607
Cd 0.3656 0.3656 0.5476
Rh 0.8971 0.8971 0.3025
Rh 0.1029 0.1029 0.6975

- mass density (g/cm3) = 4.26
- E_tot (eV per atom) = -2.1446
- spin magnetization (μB/atom) = 0.00
- energy relative to the elements (eV/atom) = 0.041

---

Entry 4:
# Ho12Er5Th

Crystalline Ho12Er5Th at its relaxed geometry (PBE, the Alexandria database).

a b c (Å): 6.1215 6.1215 17.2612
angles (deg): 86.59 86.59 119.97
Positions (direct):
Er 0.8338 0.1662 0.5000
Er 0.3333 0.6667 0.0000
Er 0.6667 0.3333 0.0000
Er 0.1662 0.8338 0.5000
Er 0.5000 0.5000 0.5000
Ho 0.6130 0.9442 0.1657
Ho 0.7243 0.7243 0.8343
Ho 0.8884 0.8884 0.3332
Ho 0.3870 0.0558 0.8343
Ho 0.5552 0.2218 0.3328
Ho 0.7782 0.4448 0.6672
Ho 0.0558 0.3870 0.8343
Ho 0.2757 0.2757 0.1657
Ho 0.9442 0.6130 0.1657
Ho 0.4448 0.7782 0.6672
Ho 0.2218 0.5552 0.3328
Ho 0.1116 0.1116 0.6668
Th 0.0000 0.0000 0.0000

- mass density (g/cm3) = 9.10
- E_tot (eV per atom) = -4.7207
- spin magnetization (μB/atom) = 0.00
- energy relative to the elements (eV/atom) = 0.011

---

Entry 5:
# UTcNi

Crystalline UTcNi at its relaxed geometry (PBE, the Alexandria database).

a b c (Å): 3.5664 3.5664 4.6891
angles (deg): 112.35 112.35 90.00
Positions (direct):
Tc 0.3539 0.3539 0.7077
U 0.6514 0.6514 0.3029
Ni 0.9947 0.9947 0.9894

- mass density (g/cm3) = 13.04
- E_tot (eV per atom) = -9.0889
- relative energy among the computed polymorphs (meV per atom) = 142
- spin magnetization (μB/atom) = 0.00
- energy relative to the elements (eV/atom) = 0.056

---

Entry 6:
# Al4SbPb

Crystalline Al4SbPb at its relaxed geometry (PBE, the Alexandria database).

a b c (Å): 5.6611 5.6611 5.6611
angles (deg): 60.00 60.00 60.00
Positions (direct):
Sb 0.0000 0.0000 0.0000
Al 0.3750 0.8749 0.3750
Al 0.8749 0.3750 0.3750
Al 0.3750 0.3750 0.8749
Al 0.3750 0.3750 0.3750
Pb 0.7500 0.7500 0.7500

- mass density (g/cm3) = 5.66
- E_tot (eV per atom) = -3.6159
- formation energy (no corrections) (eV/atom) = 0.1843
- spin magnetization (μB/atom) = 0.00

---

> What is the formula in the fourth record?

Ho12Er5Th

---

> Which value of spin magnetization does entry 2 give?

0.12 μB/atom

---

> Which of these has the highest spin magnetization?

LiSc2As